Compound: Ac4PrHg5
Source: Alexandria via LeMat-Bulk
Functional: GGA-PBE
Structure: relaxed

Structure (CIF):
```
data_Ac4PrHg5
_space_group_name_H-M_alt 'P 1'
_space_group_IT_number 1
_space_group_name_Hall 'P 1'
_cell_length_a 4.0130
_cell_length_b 4.0130
_cell_length_c 20.0426
_cell_angle_alpha 90.00
_cell_angle_beta 90.00
_cell_angle_gamma 90.00
loop_
_atom_site_label
_atom_site_type_symbol
_atom_site_fract_x
_atom_site_fract_y
_atom_site_fract_z
Hg1 Hg 0.5000 0.5000 0.5000
Hg2 Hg 0.5000 0.5000 0.7038
Ac1 Ac 0.0000 0.0000 0.6022
Hg3 Hg 0.5000 0.5000 0.9096
Ac2 Ac 0.0000 0.0000 0.8064
Hg4 Hg 0.5000 0.5000 0.2962
Ac3 Ac 0.0000 0.0000 0.1936
Hg5 Hg 0.5000 0.5000 0.0904
Ac4 Ac 0.0000 0.0000 0.3978
Pr1 Pr 0.0000 0.0000 0.0000
```

Results
The space-group type is No. 123. Its formation energy is -0.470 eV per atom. For the calculated volume, the calculation gives 32.28 A^3/atom. The value obtained for the spin magnetization is 1.57 μB/cell.

Compound: AcPrHg2
Source: Alexandria via LeMat-Bulk
Functional: GGA-PBE
Structure: relaxed

Structure (CIF):
```
data_AcPrHg2
_space_group_name_H-M_alt 'P 1'
_space_group_IT_number 1
_space_group_name_Hall 'P 1'
_cell_length_a 4.0109
_cell_length_b 4.0109
_cell_length_c 9.9752
_cell_angle_alpha 78.40
_cell_angle_beta 78.40
_cell_angle_gamma 60.00
loop_
_atom_site_label
_atom_site_type_symbol
_atom_site_fract_x
_atom_site_fract_y
_atom_site_fract_z
Ac1 Ac 0.5000 0.5000 0.5000
Hg1 Hg 0.2541 0.2541 0.2376
Hg2 Hg 0.7459 0.7459 0.7624
Pr1 Pr 0.0000 0.0000 0.0000
```

Results
The space-group type is No. 166. Its formation energy is -0.314 eV per atom. For the calculated volume, the calculation gives 33.79 A^3/atom. The value obtained for the spin magnetization is 0.00 μB/cell.